HoSc4Tl5 after structural relaxation. Source: Alexandria via LeMat-Bulk, functional PBE-GGA.

## Properties
ΔH_f (0 K) (kJ/mol of formula units): -259.7
Total magnetization (μB per cell): 0.00

Unit cell a=3.609 b=3.609 c=18.533 alpha=90.00 beta=90.00 gamma=90.00
Atoms (fractional coordinates):
Ho1 0.000 0.000 0.000
Sc1 0.000 0.000 0.208
Sc2 0.000 0.000 0.403
Sc3 0.000 0.000 0.597
Sc4 0.000 0.000 0.792
Tl1 0.500 0.500 0.109
Tl2 0.500 0.500 0.305
Tl3 0.500 0.500 0.500
Tl4 0.500 0.500 0.695
Tl5 0.500 0.500 0.891